(1)
First-principles (PBE-GGA) data for a relaxed structure of Ca2CrHg, as listed in Alexandria via LeMat-Bulk.

a = 4.084 Å, b = 4.790 Å, c = 6.218 Å
α = 90.00°, β = 109.08°, γ = 90.00°
Element x y z (fractional)
Ca  0.000  0.000  0.000
Ca  0.297  0.500  0.596
Cr  0.581  0.500  0.163
Hg  0.718  0.000  0.436

Results
**Crystal system**: monoclinic
**Symmetry**: Pm (6)
**Uncorrected energy**: -13.67 eV per cell
**Density of states at the Fermi level**: 0.7070 states/eV/atom

---

(2)
First-principles (PBE-GGA) data for a relaxed structure of Nd2DyYSe6, as listed in Alexandria via LeMat-Bulk.

a = 7.789 Å, b = 7.789 Å, c = 7.789 Å
α = 56.35°, β = 56.35°, γ = 56.35°
Element x y z (fractional)
Nd  0.000  0.000  0.000
Nd  0.500  0.500  0.500
Dy  0.200  0.200  0.200
Y  0.700  0.700  0.700
Se  0.086  0.415  0.813
Se  0.313  0.915  0.586
Se  0.415  0.813  0.086
Se  0.586  0.313  0.915
Se  0.813  0.086  0.415
Se  0.915  0.586  0.313

Results
**Crystal system**: trigonal
**Symmetry**: R3 (146)
**Uncorrected energy**: -59.99 eV per cell
**Density of states at the Fermi level**: 0.0000 states/eV/atom
**Energy relative to the elements, uncorrected**: -1.85 eV per atom

---

(3)
First-principles (PBE-GGA) data for a relaxed structure of LiAc2SO6, as listed in Alexandria via LeMat-Bulk.

a = 5.470 Å, b = 5.470 Å, c = 4.110 Å
α = 90.00°, β = 90.00°, γ = 90.00°
Element x y z (fractional)
Li  0.000  0.000  0.000
Ac  0.000  0.500  0.496
Ac  0.500  0.000  0.496
S  0.500  0.500  0.986
O  0.000  0.000  0.503
O  0.275  0.275  0.012
O  0.275  0.725  0.012
O  0.500  0.500  0.594
O  0.725  0.275  0.012
O  0.725  0.725  0.012

Results
**Crystal system**: tetragonal
**Symmetry**: P4mm (99)
**Uncorrected energy**: -66.52 eV per cell
**Density of states at the Fermi level**: 0.0331 states/eV/atom
**Energy relative to the elements, uncorrected**: -2.25 eV per atom

---

(4)
First-principles (PBE-GGA) data for a relaxed structure of Tb2SmBr6, as listed in Alexandria via LeMat-Bulk.

a = 8.042 Å, b = 8.042 Å, c = 8.042 Å
α = 51.45°, β = 51.45°, γ = 51.45°
Element x y z (fractional)
Tb  0.000  0.000  0.000
Tb  0.333  0.333  0.333
Sm  0.836  0.836  0.836
Br  0.100  0.750  0.408
Br  0.256  0.582  0.916
Br  0.408  0.100  0.750
Br  0.582  0.916  0.256
Br  0.750  0.408  0.100
Br  0.916  0.256  0.582

Results
**Crystal system**: trigonal
**Symmetry**: R3 (146)
**Uncorrected energy**: -37.57 eV per cell
**Density of states at the Fermi level**: 0.6209 states/eV/atom
**Energy relative to the elements, uncorrected**: -1.51 eV per atom